## K2SiAg (GGA-PBE)

Data for a geometry-optimized K2SiAg structure.

energy relative to the elements, uncorrected = 0.40 eV per atom
E_tot = -8.85 eV per cell
DOS(E_F) = 0.52 states/eV per atom

Geometry as CIF:
```
data_K2SiAg
_symmetry_space_group_name_H-M 'P 1'
_symmetry_Int_Tables_number 1
_symmetry_space_group_name_Hall 'P 1'
_cell_length_a 3.637
_cell_length_b 5.158
_cell_length_c 6.087
_cell_angle_alpha 90.00
_cell_angle_beta 90.68
_cell_angle_gamma 90.00
loop_
_atom_site_label
_atom_site_type_symbol
_atom_site_fract_x
_atom_site_fract_y
_atom_site_fract_z
_atom_site_occupancy
K1 K 0.003 0.000 0.246 1
K2 K 0.997 0.000 0.754 1
Si1 Si 0.500 0.500 0.000 1
Ag1 Ag 0.500 0.500 0.500 1
```

---

## Rb4AuO (GGA-PBE)

Data for a geometry-optimized Rb4AuO structure.

energy relative to the elements, uncorrected = -0.46 eV per atom
E_tot = -29.79 eV per cell
DOS(E_F) = 0.35 states/eV per atom
polymorph energy (0 for the lowest one) = 11.40 kJ/mol of atoms

Geometry as CIF:
```
data_Rb4AuO
_symmetry_space_group_name_H-M 'P 1'
_symmetry_Int_Tables_number 1
_symmetry_space_group_name_Hall 'P 1'
_cell_length_a 7.550
_cell_length_b 7.550
_cell_length_c 8.969
_cell_angle_alpha 90.00
_cell_angle_beta 90.00
_cell_angle_gamma 90.00
loop_
_atom_site_label
_atom_site_type_symbol
_atom_site_fract_x
_atom_site_fract_y
_atom_site_fract_z
_atom_site_occupancy
Rb1 Rb 0.000 0.000 0.195 1
Rb2 Rb 0.000 0.000 0.805 1
Rb3 Rb 0.181 0.319 0.500 1
Rb4 Rb 0.319 0.819 0.500 1
Rb5 Rb 0.500 0.500 0.195 1
Rb6 Rb 0.500 0.500 0.805 1
Rb7 Rb 0.681 0.181 0.500 1
Rb8 Rb 0.819 0.681 0.500 1
Au1 Au 0.000 0.500 0.000 1
Au2 Au 0.500 0.000 0.000 1
O1 O 0.000 0.000 0.500 1
O2 O 0.500 0.500 0.500 1
```

---

## LiCePrRu (GGA-PBE)

Data for a geometry-optimized LiCePrRu structure.

E_form = -0.29 eV/f.u.
E_tot = -88.76 eV per cell
DOS(E_F) = 1.92 states/eV per atom

Geometry as CIF:
```
data_LiCePrRu
_symmetry_space_group_name_H-M 'P 1'
_symmetry_Int_Tables_number 1
_symmetry_space_group_name_Hall 'P 1'
_cell_length_a 7.137
_cell_length_b 7.137
_cell_length_c 7.137
_cell_angle_alpha 90.00
_cell_angle_beta 90.00
_cell_angle_gamma 90.00
loop_
_atom_site_label
_atom_site_type_symbol
_atom_site_fract_x
_atom_site_fract_y
_atom_site_fract_z
_atom_site_occupancy
Li1 Li 0.000 0.000 0.000 1
Li2 Li 0.000 0.500 0.500 1
Li3 Li 0.500 0.000 0.500 1
Li4 Li 0.500 0.500 0.000 1
Ce1 Ce 0.250 0.250 0.750 1
Ce2 Ce 0.250 0.750 0.250 1
Ce3 Ce 0.750 0.250 0.250 1
Ce4 Ce 0.750 0.750 0.750 1
Pr1 Pr 0.250 0.250 0.250 1
Pr2 Pr 0.250 0.750 0.750 1
Pr3 Pr 0.750 0.250 0.750 1
Pr4 Pr 0.750 0.750 0.250 1
Ru1 Ru 0.000 0.000 0.500 1
Ru2 Ru 0.000 0.500 0.000 1
Ru3 Ru 0.500 0.000 0.000 1
Ru4 Ru 0.500 0.500 0.500 1
```

---

## CrBiCl2 (GGA-PBE)

Data for a geometry-optimized CrBiCl2 structure.

energy relative to the elements, uncorrected = -0.22 eV per atom
E_tot = -54.21 eV per cell
DOS(E_F) = 1.26 states/eV per atom
polymorph energy (0 for the lowest one) = 0.00 kJ/mol of atoms

Geometry as CIF:
```
data_CrBiCl2
_symmetry_space_group_name_H-M 'P 1'
_symmetry_Int_Tables_number 1
_symmetry_space_group_name_Hall 'P 1'
_cell_length_a 3.270
_cell_length_b 3.270
_cell_length_c 34.048
_cell_angle_alpha 90.00
_cell_angle_beta 90.00
_cell_angle_gamma 120.00
loop_
_atom_site_label
_atom_site_type_symbol
_atom_site_fract_x
_atom_site_fract_y
_atom_site_fract_z
_atom_site_occupancy
Cr1 Cr 0.000 0.000 0.000 1
Cr2 Cr 0.333 0.667 0.667 1
Cr3 Cr 0.667 0.333 0.333 1
Bi1 Bi 0.000 0.000 0.500 1
Bi2 Bi 0.333 0.667 0.167 1
Bi3 Bi 0.667 0.333 0.833 1
Cl1 Cl 0.000 0.000 0.376 1
Cl2 Cl 0.000 0.000 0.624 1
Cl3 Cl 0.333 0.667 0.042 1
Cl4 Cl 0.333 0.667 0.291 1
Cl5 Cl 0.667 0.333 0.709 1
Cl6 Cl 0.667 0.333 0.958 1
```

---

## RbTmS2O8 (GGA-PBE)

Data for a geometry-optimized RbTmS2O8 structure.

energy relative to the elements, uncorrected = -2.11 eV per atom
E_tot = -78.72 eV per cell
DOS(E_F) = 0.00 states/eV per atom

Geometry as CIF:
```
data_RbTmS2O8
_symmetry_space_group_name_H-M 'P 1'
_symmetry_Int_Tables_number 1
_symmetry_space_group_name_Hall 'P 1'
_cell_length_a 5.322
_cell_length_b 5.322
_cell_length_c 8.458
_cell_angle_alpha 90.00
_cell_angle_beta 90.00
_cell_angle_gamma 120.00
loop_
_atom_site_label
_atom_site_type_symbol
_atom_site_fract_x
_atom_site_fract_y
_atom_site_fract_z
_atom_site_occupancy
Rb1 Rb 0.000 0.000 0.000 1
Tm1 Tm 0.000 0.000 0.500 1
S1 S 0.333 0.667 0.722 1
S2 S 0.667 0.333 0.278 1
O1 O 0.124 0.371 0.659 1
O2 O 0.248 0.876 0.659 1
O3 O 0.333 0.667 0.894 1
O4 O 0.371 0.248 0.341 1
O5 O 0.629 0.752 0.659 1
O6 O 0.667 0.333 0.106 1
O7 O 0.752 0.124 0.341 1
O8 O 0.876 0.629 0.341 1
```

---

## Rb2HgSbS4 (GGA-PBE)

Data for a geometry-optimized Rb2HgSbS4 structure.

energy relative to the elements, uncorrected = -0.56 eV per atom
E_tot = -54.64 eV per cell
DOS(E_F) = 0.63 states/eV per atom

Geometry as CIF:
```
data_Rb2HgSbS4
_symmetry_space_group_name_H-M 'P 1'
_symmetry_Int_Tables_number 1
_symmetry_space_group_name_Hall 'P 1'
_cell_length_a 7.684
_cell_length_b 7.684
_cell_length_c 9.009
_cell_angle_alpha 90.00
_cell_angle_beta 90.00
_cell_angle_gamma 90.00
loop_
_atom_site_label
_atom_site_type_symbol
_atom_site_fract_x
_atom_site_fract_y
_atom_site_fract_z
_atom_site_occupancy
Rb1 Rb 0.000 0.000 0.000 1
Rb2 Rb 0.000 0.500 0.250 1
Rb3 Rb 0.500 0.000 0.750 1
Rb4 Rb 0.500 0.500 0.500 1
Hg1 Hg 0.000 0.000 0.500 1
Hg2 Hg 0.500 0.500 0.000 1
Sb1 Sb 0.000 0.500 0.750 1
Sb2 Sb 0.500 0.000 0.250 1
S1 S 0.160 0.269 0.610 1
S2 S 0.231 0.660 0.890 1
S3 S 0.269 0.840 0.390 1
S4 S 0.340 0.231 0.110 1
S5 S 0.660 0.769 0.110 1
S6 S 0.731 0.160 0.390 1
S7 S 0.769 0.340 0.890 1
S8 S 0.840 0.731 0.610 1
```

---

## Tm12Co2Hg5 (GGA-PBE)

Data for a geometry-optimized Tm12Co2Hg5 structure.

E_form = -2.84 eV/f.u.
E_tot = -72.21 eV per cell
DOS(E_F) = 1.23 states/eV per atom

Geometry as CIF:
```
data_Tm12Co2Hg5
_symmetry_space_group_name_H-M 'P 1'
_symmetry_Int_Tables_number 1
_symmetry_space_group_name_Hall 'P 1'
_cell_length_a 8.951
_cell_length_b 8.951
_cell_length_c 9.429
_cell_angle_alpha 105.72
_cell_angle_beta 105.72
_cell_angle_gamma 48.93
loop_
_atom_site_label
_atom_site_type_symbol
_atom_site_fract_x
_atom_site_fract_y
_atom_site_fract_z
_atom_site_occupancy
Tm1 Tm 0.001 0.001 0.232 1
Tm2 Tm 0.075 0.601 0.915 1
Tm3 Tm 0.104 0.599 0.428 1
Tm4 Tm 0.399 0.925 0.085 1
Tm5 Tm 0.401 0.896 0.572 1
Tm6 Tm 0.498 0.498 0.179 1
Tm7 Tm 0.502 0.502 0.821 1
Tm8 Tm 0.599 0.104 0.428 1
Tm9 Tm 0.601 0.075 0.915 1
Tm10 Tm 0.896 0.401 0.572 1
Tm11 Tm 0.925 0.399 0.085 1
Tm12 Tm 0.999 0.999 0.768 1
Co1 Co 0.209 0.791 0.000 1
Co2 Co 0.791 0.209 0.000 1
Hg1 Hg 0.192 0.192 0.837 1
Hg2 Hg 0.198 0.198 0.361 1
Hg3 Hg 0.500 0.500 0.500 1
Hg4 Hg 0.802 0.802 0.639 1
Hg5 Hg 0.808 0.808 0.163 1
```

---

## SrLi2SiPt (GGA-PBE)

Data for a geometry-optimized SrLi2SiPt structure.

energy relative to the elements, uncorrected = -0.47 eV per atom
E_tot = -19.30 eV per cell
DOS(E_F) = 0.46 states/eV per atom
polymorph energy (0 for the lowest one) = 0.00 kJ/mol of atoms

Geometry as CIF:
```
data_SrLi2SiPt
_symmetry_space_group_name_H-M 'P 1'
_symmetry_Int_Tables_number 1
_symmetry_space_group_name_Hall 'P 1'
_cell_length_a 4.872
_cell_length_b 4.872
_cell_length_c 4.605
_cell_angle_alpha 90.00
_cell_angle_beta 90.00
_cell_angle_gamma 90.00
loop_
_atom_site_label
_atom_site_type_symbol
_atom_site_fract_x
_atom_site_fract_y
_atom_site_fract_z
_atom_site_occupancy
Sr1 Sr 0.000 0.000 0.000 1
Li1 Li 0.000 0.500 0.500 1
Li2 Li 0.500 0.000 0.500 1
Si1 Si 0.500 0.500 0.000 1
Pt1 Pt 0.500 0.500 0.500 1
```

---

Q: What is the E_tot in the first record?
A: -8.85 eV per cell